Record 1
CuPtBr: relaxed, GGA-PBEsol.

a = 6.051 Å, b = 6.051 Å, c = 6.051 Å
α = 90.00°, β = 90.00°, γ = 90.00°
Space group F-43m (No. 216)
Unique sites:
1 Cu 0.000 0.000 0.000
2 Pt 0.250 0.250 0.250
3 Br 0.000 0.000 0.500

## Properties
Electronic total energy   -3.85 eV per atom
Formation energy from raw total energies   0.540 eV/atom
Total moment   0.00 Bohr magnetons per cell
Mass density   10.15 g/cm3
D(E_F)   9.1 states/eV per cell

Record 2
Cu2PtBr: relaxed, GGA-PBEsol.

a = 3.130 Å, b = 3.130 Å, c = 6.208 Å
α = 90.00°, β = 90.00°, γ = 90.00°
Space group P4mm (No. 99)
Unique sites:
1 Cu 0.000 0.000 0.000
2 Cu 0.500 0.500 0.205
3 Pt 0.000 0.000 0.413
4 Br 0.500 0.500 0.754

## Properties
Electronic total energy   -4.09 eV per atom
Formation energy from raw total energies   0.289 eV/atom
Total moment   0.00 Bohr magnetons per cell
Mass density   10.98 g/cm3
D(E_F)   2.6 states/eV per cell

Record 3
CuPt2SBr: relaxed, GGA-PBEsol.

a = 4.794 Å, b = 4.794 Å, c = 4.037 Å
α = 90.00°, β = 90.00°, γ = 90.00°
Space group P4/mmm (No. 123)
Unique sites:
1 Cu 0.000 0.000 0.000
2 Pt 0.000 0.500 0.000
3 S 0.000 0.000 0.500
4 Br 0.500 0.500 0.500

## Properties
Electronic total energy   -3.93 eV per atom
Formation energy from raw total energies   0.972 eV/atom
Total moment   0.00 Bohr magnetons per cell
Mass density   10.12 g/cm3
D(E_F)   7.6 states/eV per cell

Record 4
RbCu3Br: relaxed, GGA-PBEsol.

a = 4.945 Å, b = 4.945 Å, c = 4.945 Å
α = 90.00°, β = 90.00°, γ = 90.00°
Space group Pm-3m (No. 221)
Unique sites:
1 Rb 0.000 0.000 0.000
2 Cu 0.000 0.500 0.500
3 Br 0.500 0.500 0.500

## Properties
Electronic total energy   -2.31 eV per atom
Formation energy from raw total energies   0.873 eV/atom
Total moment   0.00 Bohr magnetons per cell
Mass density   4.89 g/cm3
D(E_F)   4.0 states/eV per cell

Record 5
RbCuBr3: relaxed, GGA-PBEsol.

a = 5.074 Å, b = 5.074 Å, c = 5.074 Å
α = 90.00°, β = 90.00°, γ = 90.00°
Space group Pm-3m (No. 221)
Unique sites:
1 Rb 0.000 0.000 0.000
2 Cu 0.500 0.500 0.500
3 Br 0.000 0.500 0.500

## Properties
Electronic total energy   -3.07 eV per atom
Formation energy from raw total energies   -0.876 eV/atom
Total moment   0.00 Bohr magnetons per cell
Mass density   4.94 g/cm3
D(E_F)   1.7 states/eV per cell

Record 6
RbCu2SiBr: relaxed, GGA-PBEsol.

a = 4.483 Å, b = 4.483 Å, c = 6.895 Å
α = 90.00°, β = 90.00°, γ = 90.00°
Space group P4/mmm (No. 123)
Unique sites:
1 Rb 0.000 0.000 0.000
2 Cu 0.000 0.500 0.500
3 Si 0.000 0.000 0.500
4 Br 0.500 0.500 0.000

## Properties
Electronic total energy   -3.38 eV per atom
Formation energy from raw total energies   0.085 eV/atom
Total moment   0.00 Bohr magnetons per cell
Mass density   3.84 g/cm3
D(E_F)   1.9 states/eV per cell

Record 7
Rb2YCuBr6: relaxed, GGA-PBEsol.

a = 10.725 Å, b = 10.725 Å, c = 10.725 Å
α = 90.00°, β = 90.00°, γ = 90.00°
Space group Fm-3m (No. 225)
Unique sites:
1 Rb 0.250 0.250 0.250
2 Y 0.000 0.000 0.000
3 Cu 0.000 0.000 0.500
4 Br 0.000 0.000 0.257

## Properties
Electronic total energy   -3.92 eV per atom
Formation energy from raw total energies   -1.472 eV/atom
Total moment   0.00 Bohr magnetons per cell
Mass density   4.32 g/cm3
D(E_F)   0.0 states/eV per cell

Record 8
CuRe2Br: relaxed, GGA-PBEsol.

a = 4.137 Å, b = 4.137 Å, c = 6.944 Å
α = 90.00°, β = 90.00°, γ = 90.00°
Space group I-4m2 (No. 119)
Unique sites:
1 Cu 0.000 0.000 0.000
2 Re 0.000 0.000 0.500
3 Re 0.000 0.500 0.250
4 Br 0.000 0.500 0.750

## Properties
Electronic total energy   -7.14 eV per atom
Formation energy from raw total energies   1.079 eV/atom
Total moment   0.00 Bohr magnetons per cell
Mass density   14.41 g/cm3
D(E_F)   4.0 states/eV per cell

> Look up the D(E_F) of the first one.

9.1 states/eV per cell

> Number 3 is which compound?

CuPt2SBr